This record from the Alexandria database describes a relaxed Th3Ag4Au2 crystal. The functional is PBE.

Cell lengths 5.9303, 5.9303, 9.0799 Å; angles 116.80, 116.80, 48.51 degrees
With the nearest neighbours (Å) after each atom.
Fractional positions:
Th1 0.0000 0.0000 0.0000  8 Ag 3.25-3.29, 4 Au 3.26, 2 Th 3.37
Th2 0.3303 0.3303 0.3389  4 Au 3.23-3.32, 8 Ag 3.26-3.33, 2 Th 3.37-3.38
Th3 0.6697 0.6697 0.6611  4 Au 3.23-3.32, 8 Ag 3.26-3.33, 2 Th 3.37-3.38
Ag1 0.0465 0.0465 0.3823  1 Ag 2.78, 2 Au 2.82
Ag2 0.2764 0.2764 0.9449  2 Ag 2.80, 1 Au 2.84
Ag3 0.7236 0.7236 0.0551  2 Ag 2.80, 1 Au 2.84
Ag4 0.9535 0.9535 0.6177  1 Ag 2.78, 2 Au 2.82
Au1 0.3936 0.3936 0.7261  3 Ag 2.82-2.84
Au2 0.6064 0.6064 0.2739  3 Ag 2.82-2.84

**Space-group type**: No. 12
**Formation energy from the elements**: -34.6 kJ per mole of atoms

***

This record from the Alexandria database describes a relaxed ThAgAu crystal. The functional is PBE.

Cell lengths 5.9343, 5.9343, 5.9343 Å; angles 131.98, 109.75, 89.61 degrees
With the nearest neighbours (Å) after each atom.
Fractional positions:
Th1 0.0000 0.0000 0.0000  6 Au 3.26-3.31, 6 Ag 3.26-3.28, 2 Th 3.41
Th2 0.5000 0.0000 0.5000  6 Au 3.26-3.31, 6 Ag 3.26-3.28, 2 Th 3.41
Ag1 0.4196 0.6696 0.7500  2 Ag 2.77, 1 Au 2.80
Ag2 0.5804 0.3304 0.2500  2 Ag 2.77, 1 Au 2.80
Au1 0.0873 0.3373 0.7500  1 Ag 2.80, 2 Au 2.83
Au2 0.9127 0.6627 0.2500  1 Ag 2.80, 2 Au 2.83

**Space-group type**: No. 74
**Energy above the most stable polymorph in this dataset**: 10 meV/atom
**Formation energy from the elements**: -42.8 kJ per mole of atoms

***

This record from the Alexandria database describes a relaxed Th3AgAu3 crystal. The functional is PBE.

Cell lengths 10.7579, 10.7579, 10.7579 Å; angles 160.57, 154.95, 31.90 degrees
With the nearest neighbours (Å) after each atom.
Fractional positions:
Th1 0.0000 0.0000 0.0000  7 Au 3.10-3.38
Th2 0.3852 0.3852 0.0000  5 Au 3.12-3.32, 2 Ag 3.18
Th3 0.6872 0.1872 0.5000  8 Au 3.21-3.58, 4 Ag 3.31
Ag1 0.2588 0.7588 0.5000  3 Au 2.74-2.83
Au1 0.1263 0.6263 0.5000  1 Ag 2.74, 2 Au 2.87
Au2 0.5457 0.5457 0.0000  2 Au 2.87, 4 Th 3.10
Au3 0.8366 0.8366 0.0000  2 Ag 2.83, 4 Th 3.12

**Space-group type**: No. 44
**Formation energy from the elements**: -48.9 kJ per mole of atoms

***

This record from the Alexandria database describes a relaxed ThAgAu crystal. The functional is PBE.

Cell lengths 7.7724, 4.0147, 9.3271 Å; angles 90.00, 90.00, 90.00 degrees
With the nearest neighbours (Å) after each atom.
Fractional positions:
Th1 0.2378 0.2500 0.1918  5 Au 3.12-3.18, 5 Ag 3.14-3.29
Th2 0.2622 0.7500 0.6918  5 Au 3.12-3.18, 5 Ag 3.14-3.29
Th3 0.7378 0.2500 0.3082  5 Au 3.12-3.18, 5 Ag 3.14-3.29
Th4 0.7622 0.7500 0.8082  5 Au 3.12-3.18, 5 Ag 3.14-3.29
Ag1 0.0525 0.7500 0.4036  2 Ag 2.82, 2 Au 2.89-2.99, 1 Th 3.14
Ag2 0.4475 0.2500 0.9036  2 Ag 2.82, 2 Au 2.89-2.99, 1 Th 3.14
Ag3 0.5525 0.7500 0.0964  2 Ag 2.82, 2 Au 2.89-2.99, 1 Th 3.14
Ag4 0.9475 0.2500 0.5964  2 Ag 2.82, 2 Au 2.89-2.99, 1 Th 3.14
Au1 0.0637 0.2500 0.8906  2 Ag 2.89-2.99, 2 Au 3.03, 5 Th 3.12-3.18
Au2 0.4363 0.7500 0.3906  2 Ag 2.89-2.99, 2 Au 3.03, 5 Th 3.12-3.18
Au3 0.5637 0.2500 0.6094  2 Ag 2.89-2.99, 2 Au 3.03, 5 Th 3.12-3.18
Au4 0.9363 0.7500 0.1094  2 Ag 2.89-2.99, 2 Au 3.03, 5 Th 3.12-3.18

**Space-group type**: No. 62
**Energy above the most stable polymorph in this dataset**: 65 meV/atom
**Formation energy from the elements**: -37.5 kJ per mole of atoms

***

This record from the Alexandria database describes a relaxed ThAgAu crystal. The functional is PBE.

Cell lengths 4.8374, 4.8374, 4.8374 Å; angles 60.00, 60.00, 60.00 degrees
With the nearest neighbours (Å) after each atom.
Fractional positions:
Th1 0.0000 0.0000 0.0000  4 Au 2.96
Ag1 0.5000 0.5000 0.5000  4 Au 2.96
Au1 0.7500 0.7500 0.7500  4 Ag 2.96, 4 Th 2.96

**Space-group type**: No. 216
**Energy above the most stable polymorph in this dataset**: 173 meV/atom
**Formation energy from the elements**: -27.1 kJ per mole of atoms

***

This record from the Alexandria database describes a relaxed ThTlAgAu crystal. The functional is PBE.

Cell lengths 5.1140, 5.1140, 5.1140 Å; angles 60.00, 60.00, 60.00 degrees
With the nearest neighbours (Å) after each atom.
Fractional positions:
Th1 0.0000 0.0000 0.0000  4 Ag 3.13, 4 Au 3.13
Tl1 0.5000 0.5000 0.5000  4 Au 3.13, 4 Ag 3.13
Ag1 0.2500 0.2500 0.2500  4 Tl 3.13, 4 Th 3.13
Au1 0.7500 0.7500 0.7500  4 Tl 3.13, 4 Th 3.13

**Space-group type**: No. 216
**Formation energy from the elements**: -29.9 kJ per mole of atoms

***

This record from the Alexandria database describes a relaxed TmThAgAu crystal. The functional is PBE.

Cell lengths 5.1821, 5.1821, 5.1821 Å; angles 60.00, 60.00, 60.00 degrees
With the nearest neighbours (Å) after each atom.
Fractional positions:
Tm1 0.0000 0.0000 0.0000  4 Ag 3.17, 4 Au 3.17
Th1 0.5000 0.5000 0.5000  4 Ag 3.17, 4 Au 3.17
Ag1 0.7500 0.7500 0.7500  4 Tm 3.17, 4 Th 3.17
Au1 0.2500 0.2500 0.2500  4 Th 3.17, 4 Tm 3.17

**Space-group type**: No. 216
**Formation energy from the elements**: -40.9 kJ per mole of atoms

***

This record from the Alexandria database describes a relaxed Th3Zn6Ag2Au crystal. The functional is PBE.

Cell lengths 5.3447, 5.3447, 10.2732 Å; angles 90.00, 90.00, 120.00 degrees
With the nearest neighbours (Å) after each atom.
Fractional positions:
Th1 0.0000 0.0000 0.0000  6 Zn 3.13, 6 Ag 3.35
Th2 0.3333 0.6667 0.5622  3 Au 3.15, 1 Ag 3.19, 9 Zn 3.22-3.42, 3 Th 3.34
Th3 0.6667 0.3333 0.4378  3 Au 3.15, 1 Ag 3.19, 9 Zn 3.22-3.42, 3 Th 3.34
Zn1 0.1697 0.3393 0.2637  4 Zn 2.62-2.72, 1 Au 2.89
Zn2 0.1697 0.8303 0.2637  4 Zn 2.62-2.72, 1 Au 2.89
Zn3 0.3393 0.1697 0.7363  4 Zn 2.62-2.72, 1 Au 2.89
Zn4 0.6607 0.8303 0.2637  4 Zn 2.62-2.72, 1 Au 2.89
Zn5 0.8303 0.1697 0.7363  4 Zn 2.62-2.72, 1 Au 2.89
Zn6 0.8303 0.6607 0.7363  4 Zn 2.62-2.72, 1 Au 2.89
Ag1 0.3333 0.6667 0.8724  6 Zn 3.02, 4 Th 3.19-3.35
Ag2 0.6667 0.3333 0.1276  6 Zn 3.02, 4 Th 3.19-3.35
Au1 0.0000 0.0000 0.5000  6 Zn 2.89, 6 Th 3.15

**Space-group type**: No. 164
**Formation energy from the elements**: -11.3 kJ per mole of atoms

***

This record from the Alexandria database describes a relaxed ThZn5AgAu2 crystal. The functional is PBE.

Cell lengths 4.9120, 4.9120, 7.5620 Å; angles 90.00, 90.00, 90.00 degrees
With the nearest neighbours (Å) after each atom.
Fractional positions:
Th1 0.0000 0.0000 0.0000  12 Zn 3.23-3.47
Zn1 0.0000 0.5000 0.2769  2 Au 2.48
Zn2 0.0000 0.5000 0.7231  2 Au 2.48
Zn3 0.5000 0.0000 0.2769  2 Au 2.48
Zn4 0.5000 0.0000 0.7231  2 Au 2.48
Zn5 0.5000 0.5000 0.0000  2 Au 2.45
Ag1 0.0000 0.0000 0.5000  8 Zn 2.98
Au1 0.5000 0.5000 0.3243  5 Zn 2.45-2.48, 1 Au 2.66
Au2 0.5000 0.5000 0.6757  5 Zn 2.45-2.48, 1 Au 2.66

**Space-group type**: No. 123
**Formation energy from the elements**: 2.1 kJ per mole of atoms

***

This record from the Alexandria database describes a relaxed Th3Zn6AgAu2 crystal. The functional is PBE.

Cell lengths 5.9324, 5.9324, 8.4364 Å; angles 90.00, 90.00, 120.00 degrees
With the nearest neighbours (Å) after each atom.
Fractional positions:
Th1 0.0000 0.0000 0.0000  6 Zn 3.03
Th2 0.3333 0.6667 0.6133  9 Zn 3.11-3.20, 1 Au 3.21
Th3 0.6667 0.3333 0.3867  9 Zn 3.11-3.20, 1 Au 3.21
Zn1 0.1871 0.3742 0.2784  2 Zn 2.60, 1 Ag 2.68, 1 Au 2.83
Zn2 0.1871 0.8129 0.2784  2 Zn 2.60, 1 Ag 2.68, 1 Au 2.83
Zn3 0.3742 0.1871 0.7216  2 Zn 2.60, 1 Ag 2.68, 1 Au 2.83
Zn4 0.6258 0.8129 0.2784  2 Zn 2.60, 1 Ag 2.68, 1 Au 2.83
Zn5 0.8129 0.1871 0.7216  2 Zn 2.60, 1 Ag 2.68, 1 Au 2.83
Zn6 0.8129 0.6258 0.7216  2 Zn 2.60, 1 Ag 2.68, 1 Au 2.83
Ag1 0.0000 0.0000 0.5000  6 Zn 2.68
Au1 0.3333 0.6667 0.9936  3 Zn 2.83
Au2 0.6667 0.3333 0.0064  3 Zn 2.83

**Space-group type**: No. 164
**Formation energy from the elements**: -12.7 kJ per mole of atoms

***

This record from the Alexandria database describes a relaxed ThZrAgAu crystal. The functional is PBE.

Cell lengths 5.0951, 5.0951, 5.0951 Å; angles 60.00, 60.00, 60.00 degrees
With the nearest neighbours (Å) after each atom.
Fractional positions:
Th1 0.0000 0.0000 0.0000  4 Ag 3.12, 4 Au 3.12
Zr1 0.5000 0.5000 0.5000  4 Au 3.12, 4 Ag 3.12
Ag1 0.2500 0.2500 0.2500  4 Zr 3.12, 4 Th 3.12
Au1 0.7500 0.7500 0.7500  4 Zr 3.12, 4 Th 3.12

**Space-group type**: No. 216
**Formation energy from the elements**: -18.9 kJ per mole of atoms

***

This record from the Alexandria database describes a relaxed TiAg3Au crystal. The functional is PBE.

Cell lengths 4.9782, 4.9782, 4.9782 Å; angles 90.00, 90.00, 90.00 degrees
With the nearest neighbours (Å) after each atom.
Fractional positions:
Ti1 0.0000 0.0000 0.0000  6 Ag 2.49
Ag1 0.0000 0.0000 0.5000  2 Ti 2.49
Ag2 0.0000 0.5000 0.0000  2 Ti 2.49
Ag3 0.5000 0.0000 0.0000  2 Ti 2.49
Au1 0.5000 0.5000 0.5000  12 Ag 3.52

**Space-group type**: No. 221
**Energy above the most stable polymorph in this dataset**: 143 meV/atom
**Formation energy from the elements**: 113.7 kJ per mole of atoms